Entry from the Alexandria database: a geometry-optimized RbU2O7 structure (PBE). Values from VASP.

## Properties
Its formation energy from raw total energies is -26.41 eV per formula unit. Its space-group type is R-3m, No. 166. The calculation puts the total energy at -84.66 eV per cell.

Geometry as Quantum ESPRESSO input:
```
&SYSTEM
  ibrav = 0, nat = 10, ntyp = 3
/
ATOMIC_SPECIES
O 16.00 O.upf
Rb 85.47 Rb.upf
U 238.03 U.upf
ATOMIC_POSITIONS crystal
O 0.8834 0.8834 0.3499
O 0.3960 0.3960 0.8120
Rb 0.5000 0.5000 0.5000
O 0.2750 0.2750 0.1751
U 0.0607 0.0607 0.8178
O 0.1166 0.1166 0.6501
O 0.6040 0.6040 0.1880
O 0.0000 0.0000 0.0000
U 0.9393 0.9393 0.1822
O 0.7250 0.7250 0.8249
CELL_PARAMETERS angstrom
3.9133 0.0000 0.6876
1.8962 3.4232 0.6876
-0.0110 -0.0065 11.5425
```